Run P
A geometry-optimized TiFeAsBr2 structure, computed with PBE-GGA.

The structure belongs to space group P4/mmm (No. 123); the cell edges are 4.966, 4.966 and 5.177 Å and the angles 90.00°, 90.00° and 90.00°. The asymmetric unit holds Ti at (0.000, 0.000, 0.000), Fe at (0.500, 0.500, 0.500), As at (0.000, 0.000, 0.500) and Br at (0.000, 0.500, 0.000).

Run Q
A geometry-optimized TiFeAsBr2 structure, computed with PBE-GGA.

The structure belongs to space group P4/mmm (No. 123); the cell edges are 4.913, 4.913 and 4.529 Å and the angles 90.00°, 90.00° and 90.00°. The asymmetric unit holds Ti at (0.000, 0.000, 0.000), Fe at (0.500, 0.500, 0.500), As at (0.500, 0.500, 0.000) and Br at (0.000, 0.500, 0.500).

Verdict on stability: run P comes out on top.

Run P
A geometry-optimized VFeAs2Br structure, computed with PBE-GGA.

The structure belongs to space group P4/mmm (No. 123); the cell edges are 4.695, 4.695 and 5.254 Å and the angles 90.00°, 90.00° and 90.00°. The asymmetric unit holds V at (0.000, 0.000, 0.000), Fe at (0.500, 0.500, 0.500), As at (0.000, 0.500, 0.000) and Br at (0.000, 0.000, 0.500).

Run Q
A geometry-optimized VFeAs2Br structure, computed with PBE-GGA.

The structure belongs to space group P4/mmm (No. 123); the cell edges are 4.469, 4.469 and 5.298 Å and the angles 90.00°, 90.00° and 90.00°. The asymmetric unit holds V at (0.000, 0.000, 0.000), Fe at (0.500, 0.500, 0.500), As at (0.000, 0.500, 0.500) and Br at (0.500, 0.500, 0.000).

Verdict on stability: run Q comes out on top.

Run P
A geometry-optimized FeAs2WBr structure, computed with PBE-GGA.

The structure belongs to space group P4/mmm (No. 123); the cell edges are 4.481, 4.481 and 4.998 Å and the angles 90.00°, 90.00° and 90.00°. The asymmetric unit holds Fe at (0.000, 0.000, 0.000), As at (0.000, 0.500, 0.000), W at (0.500, 0.500, 0.500) and Br at (0.000, 0.000, 0.500).

Run Q
A geometry-optimized FeAs2WBr structure, computed with PBE-GGA.

The structure belongs to space group P4/mmm (No. 123); the cell edges are 4.839, 4.839 and 5.386 Å and the angles 90.00°, 90.00° and 90.00°. The asymmetric unit holds Fe at (0.000, 0.000, 0.000), As at (0.000, 0.500, 0.500), W at (0.500, 0.500, 0.500) and Br at (0.500, 0.500, 0.000).

Verdict on stability: run Q comes out on top.

Run P
A geometry-optimized YFeAsBr2 structure, computed with PBE-GGA.

The structure belongs to space group P4/mmm (No. 123); the cell edges are 5.414, 5.414 and 5.808 Å and the angles 90.00°, 90.00° and 90.00°. The asymmetric unit holds Y at (0.000, 0.000, 0.000), Fe at (0.500, 0.500, 0.500), As at (0.000, 0.000, 0.500) and Br at (0.000, 0.500, 0.000).

Run Q
A geometry-optimized YFeAsBr2 structure, computed with PBE-GGA.

The structure belongs to space group P4/mmm (No. 123); the cell edges are 4.812, 4.812 and 5.117 Å and the angles 90.00°, 90.00° and 90.00°. The asymmetric unit holds Y at (0.000, 0.000, 0.000), Fe at (0.500, 0.500, 0.500), As at (0.500, 0.500, 0.000) and Br at (0.000, 0.500, 0.500).

Verdict on stability: run Q comes out on top.

Run P
A geometry-optimized ZnFeAsBr2 structure, computed with PBE-GGA.

The structure belongs to space group P4/mmm (No. 123); the cell edges are 5.072, 5.072 and 5.040 Å and the angles 90.00°, 90.00° and 90.00°. The asymmetric unit holds Zn at (0.000, 0.000, 0.000), Fe at (0.500, 0.500, 0.500), As at (0.000, 0.000, 0.500) and Br at (0.000, 0.500, 0.000).

Run Q
A geometry-optimized ZnFeAsBr2 structure, computed with PBE-GGA.

The structure belongs to space group P4/mmm (No. 123); the cell edges are 4.632, 4.632 and 5.166 Å and the angles 90.00°, 90.00° and 90.00°. The asymmetric unit holds Zn at (0.000, 0.000, 0.000), Fe at (0.000, 0.000, 0.500), As at (0.500, 0.500, 0.000) and Br at (0.000, 0.500, 0.500).

Verdict on stability: run P comes out on top.

Run P
A geometry-optimized ZrFeAs2Br structure, computed with PBE-GGA.

The structure belongs to space group P4/mmm (No. 123); the cell edges are 5.217, 5.217 and 5.253 Å and the angles 90.00°, 90.00° and 90.00°. The asymmetric unit holds Zr at (0.000, 0.000, 0.000), Fe at (0.500, 0.500, 0.500), As at (0.000, 0.500, 0.000) and Br at (0.000, 0.000, 0.500).

Run Q
A geometry-optimized ZrFeAs2Br structure, computed with PBE-GGA.

The structure belongs to space group P4/mmm (No. 123); the cell edges are 4.574, 4.574 and 4.897 Å and the angles 90.00°, 90.00° and 90.00°. The asymmetric unit holds Zr at (0.000, 0.000, 0.000), Fe at (0.500, 0.500, 0.500), As at (0.000, 0.500, 0.500) and Br at (0.500, 0.500, 0.000).

Verdict on stability: run Q comes out on top.

Run P
A geometry-optimized GaAs2IBr structure, computed with PBE-GGA.

The structure belongs to space group P4/mmm (No. 123); the cell edges are 5.162, 5.162 and 5.066 Å and the angles 90.00°, 90.00° and 90.00°. The asymmetric unit holds Ga at (0.000, 0.000, 0.000), As at (0.000, 0.500, 0.000), I at (0.500, 0.500, 0.500) and Br at (0.000, 0.000, 0.500).

Run Q
A geometry-optimized GaAs2IBr structure, computed with PBE-GGA.

The structure belongs to space group P4/mmm (No. 123); the cell edges are 5.432, 5.432 and 7.331 Å and the angles 90.00°, 90.00° and 90.00°. The asymmetric unit holds Ga at (0.000, 0.000, 0.000), As at (0.000, 0.500, 0.500), I at (0.500, 0.500, 0.500) and Br at (0.500, 0.500, 0.000).

Verdict on stability: run P comes out on top.

Run P
A geometry-optimized InGaAsBr2 structure, computed with PBE-GGA.

The structure belongs to space group P4/mmm (No. 123); the cell edges are 5.632, 5.632 and 5.346 Å and the angles 90.00°, 90.00° and 90.00°. The asymmetric unit holds In at (0.000, 0.000, 0.000), Ga at (0.500, 0.500, 0.500), As at (0.000, 0.000, 0.500) and Br at (0.000, 0.500, 0.000).

Run Q
A geometry-optimized InGaAsBr2 structure, computed with PBE-GGA.

The structure belongs to space group P4/mmm (No. 123); the cell edges are 5.442, 5.442 and 5.052 Å and the angles 90.00°, 90.00° and 90.00°. The asymmetric unit holds In at (0.000, 0.000, 0.000), Ga at (0.500, 0.500, 0.500), As at (0.500, 0.500, 0.000) and Br at (0.000, 0.500, 0.500).

Verdict on stability: run Q comes out on top.